Ca2Zn3Si3PbO12 | PBEsol | relaxed

Its electronic total energy is -574.07 eV/cell. For the total moment, the calculation gives 0.00 μB/f.u. The raw formation energy comes out at -2.39 eV per atom.

a b c (Å): 8.7895 8.2668 17.6010
angles (deg): 90.00 119.90 90.00
Last column: nearest neighbours and their distance in Å.
Fractional positions:
Ca 0.1639 0.0411 0.4250  6 O 2.29-2.55
Ca 0.1639 0.4589 0.9250  6 O 2.29-2.55
Ca 0.1716 0.0395 0.9117  5 O 2.30-2.41
Ca 0.1716 0.4605 0.4117  5 O 2.30-2.41
Ca 0.8284 0.5395 0.5883  5 O 2.30-2.41
Ca 0.8284 0.9605 0.0883  5 O 2.30-2.41
Ca 0.8361 0.5411 0.0750  6 O 2.29-2.55
Ca 0.8361 0.9589 0.5750  6 O 2.29-2.55
Zn 0.1680 0.6639 0.2441  4 O 1.93-1.99
Zn 0.1680 0.8361 0.7441  4 O 1.93-1.99
Zn 0.1764 0.1600 0.0840  4 O 1.94-1.98
Zn 0.1764 0.3399 0.5840  4 O 1.94-1.98
Zn 0.4857 0.1601 0.4102  4 O 1.94-1.98
Zn 0.4857 0.3399 0.9102  4 O 1.94-1.98
Zn 0.5143 0.6601 0.0898  4 O 1.94-1.98
Zn 0.5143 0.8399 0.5898  4 O 1.94-1.98
Zn 0.8236 0.6600 0.4160  4 O 1.94-1.98
Zn 0.8236 0.8400 0.9160  4 O 1.94-1.98
Zn 0.8320 0.1639 0.2559  4 O 1.93-1.99
Zn 0.8320 0.3361 0.7559  4 O 1.93-1.99
Si 0.1463 0.2291 0.7347  4 O 1.64-1.66
Si 0.1463 0.2709 0.2347  4 O 1.64-1.66
Si 0.1796 0.7256 0.5747  4 O 1.64-1.65
Si 0.1796 0.7744 0.0747  4 O 1.64-1.65
Si 0.4726 0.7295 0.9119  4 O 1.64-1.66
Si 0.4726 0.7705 0.4119  4 O 1.64-1.66
Si 0.5274 0.2295 0.5881  4 O 1.64-1.66
Si 0.5274 0.2705 0.0881  4 O 1.64-1.66
Si 0.8204 0.2256 0.9253  4 O 1.64-1.65
Si 0.8204 0.2744 0.4253  4 O 1.64-1.65
Si 0.8537 0.7291 0.7653  4 O 1.64-1.66
Si 0.8537 0.7709 0.2653  4 O 1.64-1.66
Pb 0.4944 0.0491 0.7493  3 O 2.31-2.32
Pb 0.4944 0.4509 0.2493  3 O 2.31-2.32
Pb 0.5056 0.5491 0.7507  3 O 2.31-2.32
Pb 0.5056 0.9509 0.2507  3 O 2.31-2.32
O 0.0324 0.2475 0.4652  1 Si 1.65
O 0.0324 0.2525 0.9652  1 Si 1.65
O 0.0700 0.2494 0.3026  1 Si 1.65
O 0.0700 0.2506 0.8026  1 Si 1.65
O 0.0718 0.1326 0.1575  1 Si 1.64
O 0.0718 0.3674 0.6575  1 Si 1.64
O 0.0991 0.0513 0.6867  1 Si 1.64
O 0.0991 0.4487 0.1867  1 Si 1.64
O 0.2227 0.5498 0.5468  1 Si 1.64
O 0.2227 0.9502 0.0468  1 Si 1.64
O 0.2635 0.6341 0.0405  1 Si 1.64
O 0.2635 0.8659 0.5405  1 Si 1.64
O 0.2733 0.7299 0.6828  1 Si 1.65
O 0.2733 0.7701 0.1828  1 Si 1.65
O 0.3210 0.6299 0.3683  1 Si 1.64
O 0.3210 0.8701 0.8683  1 Si 1.64
O 0.3629 0.2377 0.7953  1 Si 1.66
O 0.3629 0.2623 0.2953  1 Si 1.66
O 0.3736 0.5538 0.8925  1 Si 1.64
O 0.3736 0.9462 0.3925  1 Si 1.64
O 0.3943 0.2429 0.9823  1 Si 1.65
O 0.3943 0.2571 0.4823  1 Si 1.65
O 0.4031 0.2298 0.6344  1 Si 1.66
O 0.4031 0.2702 0.1344  1 Si 1.66
O 0.5969 0.7298 0.8656  1 Si 1.66
O 0.5969 0.7702 0.3656  1 Si 1.66
O 0.6057 0.7429 0.5177  1 Si 1.65
O 0.6057 0.7571 0.0177  1 Si 1.65
O 0.6264 0.0538 0.6075  1 Si 1.64
O 0.6264 0.4462 0.1075  1 Si 1.64
O 0.6371 0.7377 0.7047  1 Si 1.66
O 0.6371 0.7623 0.2047  1 Si 1.66
O 0.6790 0.1299 0.1317  1 Si 1.64
O 0.6790 0.3701 0.6317  1 Si 1.64
O 0.7267 0.2299 0.8172  1 Si 1.65
O 0.7267 0.2701 0.3172  1 Si 1.65
O 0.7365 0.1341 0.4595  1 Si 1.64
O 0.7365 0.3659 0.9595  1 Si 1.64
O 0.7773 0.0498 0.9532  1 Si 1.64
O 0.7773 0.4502 0.4532  1 Si 1.64
O 0.9009 0.5513 0.8133  1 Si 1.64
O 0.9009 0.9487 0.3133  1 Si 1.64
O 0.9282 0.6326 0.3425  1 Si 1.64
O 0.9282 0.8674 0.8425  1 Si 1.64
O 0.9300 0.7494 0.1974  1 Si 1.65
O 0.9300 0.7506 0.6974  1 Si 1.65
O 0.9676 0.7475 0.0348  1 Si 1.65
O 0.9676 0.7525 0.5348  1 Si 1.65

---

Ca2SnPbO | PBEsol | relaxed

Its electronic total energy is -24.04 eV/cell. For the total moment, the calculation gives 0.00 μB/f.u. The raw formation energy comes out at -1.25 eV per atom.

a b c (Å): 4.7519 4.7519 5.0289
angles (deg): 90.00 90.00 90.00
Last column: nearest neighbours and their distance in Å.
Fractional positions:
Ca 0.0000 0.5000 0.0000  2 O 2.38
Ca 0.5000 0.0000 0.0000  2 O 2.38
Sn 0.0000 0.0000 0.5000  4 Pb 3.36, 8 Ca 3.46
Pb 0.5000 0.5000 0.5000  2 O 2.51
O 0.5000 0.5000 0.0000  4 Ca 2.38, 2 Pb 2.51

---

Ca3Ti4PbO12 | PBEsol | relaxed

Its electronic total energy is -166.03 eV/cell. For the total moment, the calculation gives 0.00 μB/f.u. The raw formation energy comes out at -2.97 eV per atom.

a b c (Å): 5.4216 7.6700 5.4768
angles (deg): 90.00 90.11 90.00
Last column: nearest neighbours and their distance in Å.
Fractional positions:
Ca 0.0000 0.0000 0.0000  8 O 2.38-2.63
Ca 0.0094 0.5000 0.0697  4 O 2.35-2.47
Ca 0.5132 0.0000 0.4902  8 O 2.37-2.56
Ti 0.0068 0.2446 0.5293  6 O 1.89-2.05
Ti 0.0068 0.7554 0.5293  6 O 1.89-2.05
Ti 0.5015 0.2471 0.0240  6 O 1.89-2.06
Ti 0.5015 0.7529 0.0240  6 O 1.89-2.06
Pb 0.5027 0.5000 0.5445  3 O 2.43-2.49
O 0.0846 0.0000 0.5708  2 Ti 1.94
O 0.2130 0.2850 0.8383  2 Ti 1.89-2.05
O 0.2130 0.7150 0.8383  2 Ti 1.89-2.05
O 0.2894 0.2694 0.3255  2 Ti 1.91-2.02
O 0.2894 0.7306 0.3255  2 Ti 1.91-2.02
O 0.4361 0.0000 0.0523  2 Ti 1.93
O 0.5771 0.5000 0.0505  2 Ti 1.99
O 0.7207 0.2077 0.7583  2 Ti 1.90-2.02
O 0.7207 0.7923 0.7583  2 Ti 1.90-2.02
O 0.7926 0.2070 0.2606  2 Ti 1.89-2.06
O 0.7926 0.7930 0.2606  2 Ti 1.89-2.06
O 0.9606 0.5000 0.5182  2 Ti 1.98